# MgIr2O GGA-PBEsol optimized geometry
data_MgIr2O
_chemical_formula_sum 'Mg4 Ir8 O4'
_cell_length_a 4.641
_cell_length_b 4.641
_cell_length_c 12.875
_cell_angle_alpha 90.00
_cell_angle_beta 90.00
_cell_angle_gamma 90.00
_symmetry_space_group_name_H-M 'I -4 2 d'
_symmetry_Int_Tables_number 122
_symmetry_space_group_name_Hall 'I -4 2bw'
loop_
_atom_site_label
_atom_site_type_symbol
_atom_site_fract_x
_atom_site_fract_y
_atom_site_fract_z
Mg1 Mg 0.000 0.000 0.000
Ir1 Ir 0.082 0.750 0.625
O1 O 0.000 0.000 0.500
# Formation energy (no corrections) ... 0.246 eV per atom
# Raw total energy ... -6.41 eV/atom
# Spin magnetization ... 0.000 Bohr magnetons per cell
# ρ ... 10171 kg/m3